VASP calculation (GGA-PBE) on ZrCu2F11 after structural relaxation.

Cell: 7.7950 7.7950 7.7950 Å, 113.94 113.79 101.00°
Last column: nearest neighbours and their distance in Å.
Positions (direct):
Zr  0.2500  0.2500  0.0000  8 F 2.14
Zr  0.7500  0.7500  0.0000  8 F 2.14
Cu  0.1907  0.6906  0.8814  5 F 1.84-1.91
Cu  0.3093  0.1906  0.4999  5 F 1.84-1.91
Cu  0.6907  0.8094  0.5001  5 F 1.84-1.91
Cu  0.8093  0.3094  0.1186  5 F 1.84-1.91
F  0.0000  0.5000  0.5000  2 F 1.88
F  0.0611  0.3370  0.1249  1 Cu 1.91, 1 Zr 2.14
F  0.0636  0.9390  0.2758  1 Cu 1.91, 1 Zr 2.14
F  0.1563  0.3440  0.5002  1 Cu 1.84, 1 F 1.88
F  0.1632  0.4390  0.8754  1 Cu 1.91, 1 Zr 2.14
F  0.2122  0.9362  0.8751  1 Cu 1.91, 1 Zr 2.14
F  0.2878  0.1630  0.7240  1 Cu 1.91, 1 Zr 2.14
F  0.3368  0.2122  0.2758  1 Cu 1.91, 1 Zr 2.14
F  0.3437  0.8440  0.1877  1 Cu 1.84, 1 F 1.88
F  0.4364  0.7122  0.8754  1 Cu 1.91, 1 Zr 2.14
F  0.4389  0.5638  0.2760  1 Cu 1.91, 1 Zr 2.14
F  0.5000  0.0000  0.5000  2 F 1.88
F  0.5611  0.4362  0.7240  1 Cu 1.91, 1 Zr 2.14
F  0.5636  0.2878  0.1246  1 Cu 1.91, 1 Zr 2.14
F  0.6563  0.1560  0.8123  1 Cu 1.84, 1 F 1.88
F  0.6632  0.7878  0.7242  1 Cu 1.91, 1 Zr 2.14
F  0.7122  0.8370  0.2760  1 Cu 1.91, 1 Zr 2.14
F  0.7878  0.0638  0.1249  1 Cu 1.91, 1 Zr 2.14
F  0.8368  0.5610  0.1246  1 Cu 1.91, 1 Zr 2.14
F  0.8437  0.6560  0.4998  1 Cu 1.84, 1 F 1.88
F  0.9364  0.0610  0.7242  1 Cu 1.91, 1 Zr 2.14
F  0.9389  0.6630  0.8751  1 Cu 1.91, 1 Zr 2.14

VASP calculation (GGA-PBE) on ZrCuF6 after structural relaxation.

- Fermi-level density of states: 4.88 states/eV per cell

Cell: 5.7459 5.7459 5.7459 Å, 60.00 60.00 60.00°
Last column: nearest neighbours and their distance in Å.
Positions (direct):
Zr  0.0000  0.0000  0.0000  6 F 2.04
Cu  0.5000  0.5000  0.5000  6 F 2.03
F  0.2506  0.2506  0.7494  1 Cu 2.03, 1 Zr 2.04
F  0.2506  0.7494  0.2506  1 Cu 2.03, 1 Zr 2.04
F  0.2506  0.7494  0.7494  1 Cu 2.03, 1 Zr 2.04
F  0.7494  0.2506  0.2506  1 Cu 2.03, 1 Zr 2.04
F  0.7494  0.2506  0.7494  1 Cu 2.03, 1 Zr 2.04
F  0.7494  0.7494  0.2506  1 Cu 2.03, 1 Zr 2.04

Uncorrected formation energy, respectively: -1.953 -2.849 eV per atom.